Here is TaCrSe at its PBEsol-relaxed geometry from the Alexandria database. Energies are from meta-GGA SCAN.

Lattice parameters (Å, degrees): 5.3911 5.3911 5.3911 146.12 146.12 48.66
Atoms (fractional coordinates):
Ta 0.0000 0.0000 0.0000
Cr 0.6852 0.6852 0.0000
Se 0.3572 0.3572 0.0000

Values from the calculation:
The energy above the most stable polymorph in this dataset comes out at 0.000 eV/atom. As for the total energy: -34.998 eV per atom. The value obtained for the formation energy from raw total energies is 0.4 kcal/mol of atoms.